First-principles (GGA-PBE) data for a geometry-optimized AgPtI2O structure, as listed in Alexandria via LeMat-Bulk.

Computed properties:
Uncorrected formation energy, eV/atom: 0.800
E_tot, eV per atom: -2.590
Offset from the most stable computed form, meV/atom: 747
Fermi-level density of states, states/eV per atom: 1.783

Cell: 5.604 5.604 3.895 Å, 90.00 90.00 90.00°
Positions (direct):
Ag: 0.000 0.000 0.000
Pt: 0.500 0.500 0.500
I: 0.000 0.500 0.000
I: 0.500 0.000 0.000
O: 0.000 0.000 0.500